First-principles (PBE-GGA) data for a relaxed structure of UCuIrRu, as listed in the Alexandria database.

Results
final energy = -8.5246 eV per atom
ΔE_f = -13.9 kJ per mole of atoms
total moment = 1.0 μB/f.u.

a b c (Å): 4.5394 4.5394 4.5394
angles (deg): 60.00 60.00 60.00
Last column: magnetic moment on the atom in μB.
Element x y z (fractional)
Ru 0.7500 0.7500 0.7500  -0.15
Ir 0.2500 0.2500 0.2500  -0.07
U 0.0000 0.0000 0.0000  1.20
Cu 0.5000 0.5000 0.5000  -0.01